# PBE with a Hubbard U RbNp2NiO8, optimized geometry
data_RbNp2NiO8
_chemical_formula_sum 'Rb1 Np2 Ni1 O8'
_cell_length_a 6.2958
_cell_length_b 6.2958
_cell_length_c 7.2715
_cell_angle_alpha 90.00
_cell_angle_beta 90.00
_cell_angle_gamma 120.00
_symmetry_space_group_name_H-M 'P 1'
_symmetry_Int_Tables_number 1
loop_
_symmetry_equiv_pos_as_xyz
'x,y,z'
loop_
_atom_site_label
_atom_site_type_symbol
_atom_site_fract_x
_atom_site_fract_y
_atom_site_fract_z
Rb1 Rb 0.0000 0.0000 0.0000
Np1 Np 0.3333 0.6667 0.3224
Np2 Np 0.6667 0.3333 0.6776
Ni1 Ni 0.0000 0.0000 0.5000
O1 O 0.1546 0.3092 0.3378
O2 O 0.1546 0.8454 0.3378
O3 O 0.3092 0.1546 0.6622
O4 O 0.3333 0.6667 0.0634
O5 O 0.6667 0.3333 0.9366
O6 O 0.6908 0.8454 0.3378
O7 O 0.8454 0.1546 0.6622
O8 O 0.8454 0.6908 0.6622
# Final energy   -7.605 eV per atom